1.
SmSnSb: optimized geometry, PBE.

abc: 5.2118 5.2118 5.2118
angles: 60.00 60.00 60.00
With the nearest neighbours (Å) after each atom.
Sites, in units of the cell vectors:
Sb (0.2500, 0.2500, 0.2500)  4 Sm 3.19
Sm (0.0000, 0.0000, 0.0000)  4 Sn 3.19, 4 Sb 3.19
Sn (0.7500, 0.7500, 0.7500)  4 Sm 3.19

Properties
Total moment   0.00 μB/f.u.
Uncorrected energy   -4.543 eV/atom



2.
SmSnSb: optimized geometry, PBE.

abc: 5.2126 5.2126 5.2126
angles: 60.00 60.00 60.00
With the nearest neighbours (Å) after each atom.
Sites, in units of the cell vectors:
Sm (0.2500, 0.2500, 0.2500)  4 Sb 3.19
Sn (0.7500, 0.7500, 0.7500)  4 Sb 3.19
Sb (0.0000, 0.0000, 0.0000)  4 Sn 3.19, 4 Sm 3.19

Properties
Total moment   0.01 μB/f.u.
Uncorrected energy   -4.571 eV/atom